KIrOs2 | PBE | optimized geometry

Results
M_tot	0.0000	μB per atom
crystal system	tetragonal
formation energy	1582	meV/atom
DOS(E_F)	1.645	states/eV per atom

CIF file:
```
data_KIrOs2
_cell_length_a 7.661
_cell_length_b 7.661
_cell_length_c 5.450
_cell_angle_alpha 90.00
_cell_angle_beta 90.00
_cell_angle_gamma 90.00
_symmetry_space_group_name_H-M 'I -4 2 d'
_symmetry_Int_Tables_number 122
_symmetry_space_group_name_Hall 'I -4 2bw'
loop_
_atom_site_label
_atom_site_type_symbol
_atom_site_fract_x
_atom_site_fract_y
_atom_site_fract_z
_atom_site_occupancy
K1 K 0.000 0.000 0.000 1
Ir1 Ir 0.000 0.000 0.500 1
Os1 Os 0.185 0.250 0.625 1
```